# Sr2Ga2Ag3 PBE optimized geometry
# **E_form**: -0.19 eV per atom
# **Energy relative to the lowest polymorph listed for this composition**: 0.126 eV per atom
# **Volume**: 24.287 A^3/atom
# **Total energy**: -2.76 eV per atom
data_Sr2Ga2Ag3
_chemical_formula_sum 'Sr4 Ga4 Ag6'
_space_group_name_H-M_alt 'C m m m'
_space_group_IT_number 65
_space_group_name_Hall '-C 2 2'
_cell_length_a 4.401
_cell_length_b 20.208
_cell_length_c 3.823
_cell_angle_alpha 90.00
_cell_angle_beta 90.00
_cell_angle_gamma 90.00
loop_
_atom_site_label
_atom_site_fract_x
_atom_site_fract_y
_atom_site_fract_z
_atom_site_occupancy
Sr1 0.000 0.150 0.000 1
Ga1 0.000 0.285 0.500 1
Ag1 0.000 0.000 0.000 1
Ag2 0.000 0.432 0.500 1